(w)
VASP calculation (PBE) on an optimized crystal structure of V2CrAu.

Its density of states at the Fermi level is 1.346 states/eV per atom. For the calculated volume, the calculation gives 14.4 Å³/atom.

Unit cell a=4.0044 b=3.7878 c=3.7878 alpha=90.00 beta=90.00 gamma=90.00
Last column: magnetic moment on the atom in μB.
Element x y z (fractional)
Cr1 0.5000 0.5000 0.5000  2.15
Au1 0.5000 0.0000 0.0000  0.02
V1 0.0000 0.0000 0.5000  -0.32
V2 0.0000 0.5000 0.0000  -0.32

***

(x)
VASP calculation (PBE) on an optimized crystal structure of V2CrAu.

Its density of states at the Fermi level is 1.251 states/eV per atom. For the calculated volume, the calculation gives 14.3 Å³/atom.

Unit cell a=4.3267 b=4.3267 c=4.3267 alpha=60.00 beta=60.00 gamma=60.00
Last column: magnetic moment on the atom in μB.
Element x y z (fractional)
Cr1 0.0000 0.0000 0.0000  -0.72
Au1 0.5000 0.5000 0.5000  0.07
V1 0.2500 0.2500 0.2500  0.77
V2 0.7500 0.7500 0.7500  0.77

***

Most stable structure: (w)

***

(w)
VASP calculation (PBE) on an optimized crystal structure of VCr3Au.

Its density of states at the Fermi level is 1.127 states/eV per atom. For the calculated volume, the calculation gives 15.1 Å³/atom.

Unit cell a=4.2302 b=4.2302 c=4.2302 alpha=90.00 beta=90.00 gamma=90.00
Last column: magnetic moment on the atom in μB.
Element x y z (fractional)
Cr1 0.0000 0.5000 0.0000  0.35
Cr2 0.0000 0.0000 0.5000  0.35
Cr3 0.5000 0.0000 0.0000  0.35
Au1 0.5000 0.5000 0.5000  -0.01
V1 0.0000 0.0000 0.0000  -0.12

***

(x)
VASP calculation (PBE) on an optimized crystal structure of VCr3Au.

Its density of states at the Fermi level is 2.278 states/eV per atom. For the calculated volume, the calculation gives 24.5 Å³/atom.

Unit cell a=4.9672 b=4.9672 c=4.9672 alpha=90.00 beta=90.00 gamma=90.00
Last column: magnetic moment on the atom in μB.
Element x y z (fractional)
Cr1 0.0000 0.5000 0.0000  3.71
Cr2 0.0000 0.0000 0.5000  3.71
Cr3 0.5000 0.0000 0.0000  3.71
Au1 0.0000 0.0000 0.0000  0.21
V1 0.5000 0.5000 0.5000  2.91

***

Most stable structure: (w)

***

(w)
VASP calculation (PBE) on an optimized crystal structure of Cr2WAu.

Its density of states at the Fermi level is 0.557 states/eV per atom. For the calculated volume, the calculation gives 14.5 Å³/atom.

Unit cell a=2.8965 b=2.8965 c=6.9333 alpha=90.00 beta=90.00 gamma=90.00
Last column: magnetic moment on the atom in μB.
Element x y z (fractional)
Au1 0.5000 0.5000 0.7676  0.04
Cr1 0.0000 0.0000 0.0447  1.61
Cr2 0.5000 0.5000 0.2199  -0.81
W1 0.0000 0.0000 0.4677  -0.02

***

(x)
VASP calculation (PBE) on an optimized crystal structure of Cr2WAu.

Its density of states at the Fermi level is 1.081 states/eV per atom. For the calculated volume, the calculation gives 14.7 Å³/atom.

Unit cell a=8.8203 b=8.8203 c=8.8203 alpha=18.27 beta=18.27 gamma=18.27
Last column: magnetic moment on the atom in μB.
Element x y z (fractional)
Au1 0.7452 0.7452 0.7452  0.00
Cr1 0.9892 0.9892 0.9892  0.49
Cr2 0.2591 0.2591 0.2591  -0.26
W1 0.5065 0.5065 0.5065  0.01

***

(y)
VASP calculation (PBE) on an optimized crystal structure of Cr2WAu.

Its density of states at the Fermi level is 0.772 states/eV per atom. For the calculated volume, the calculation gives 14.5 Å³/atom.

Unit cell a=4.1078 b=4.1082 c=3.4418 alpha=90.00 beta=90.00 gamma=90.00
Last column: magnetic moment on the atom in μB.
Element x y z (fractional)
Au1 0.0000 0.5000 0.5000  0.01
Cr1 0.0000 0.0000 0.0000  1.67
Cr2 0.5000 0.5000 0.0000  1.67
W1 0.5000 0.0000 0.5000  -0.61

***

(z)
VASP calculation (PBE) on an optimized crystal structure of Cr2WAu.

Its density of states at the Fermi level is 1.174 states/eV per atom. For the calculated volume, the calculation gives 14.5 Å³/atom.

Unit cell a=4.6335 b=4.6335 c=4.8638 alpha=81.99 beta=81.99 gamma=34.18
Element x y z (fractional)
Au1 0.2500 0.2500 0.2500
Cr1 0.9978 0.9978 0.9947
Cr2 0.5022 0.5022 0.5053
W1 0.7500 0.7500 0.7500

***

Most stable structure: (w)

***

(w)
VASP calculation (PBE) on an optimized crystal structure of Cr2WAu.

Its density of states at the Fermi level is 0.764 states/eV per atom. For the calculated volume, the calculation gives 14.6 Å³/atom.

Unit cell a=2.6730 b=2.6730 c=8.6073 alpha=90.00 beta=90.00 gamma=108.15
Element x y z (fractional)
Au1 0.5000 0.5000 0.7500
Cr1 0.0000 0.0000 0.0114
Cr2 0.0000 0.0000 0.4886
W1 0.5000 0.5000 0.2500

***

(x)
VASP calculation (PBE) on an optimized crystal structure of Cr2WAu.

Its density of states at the Fermi level is 1.100 states/eV per atom. For the calculated volume, the calculation gives 14.7 Å³/atom.

Unit cell a=2.6762 b=2.6762 c=8.2323 alpha=90.00 beta=90.00 gamma=90.00
Last column: magnetic moment on the atom in μB.
Element x y z (fractional)
Au1 0.5000 0.5000 0.7500  0.02
Cr1 0.0000 0.0000 0.0048  1.09
Cr2 0.0000 0.0000 0.4952  1.09
W1 0.5000 0.5000 0.2500  -0.05

***

Most stable structure: (w)

***

(w)
VASP calculation (PBE) on an optimized crystal structure of Cr2WAu.

Its density of states at the Fermi level is 0.780 states/eV per atom. For the calculated volume, the calculation gives 16.7 Å³/atom.

Unit cell a=6.9057 b=6.9057 c=5.6300 alpha=52.17 beta=52.17 gamma=90.00
Last column: magnetic moment on the atom in μB.
Element x y z (fractional)
Cr1 0.6054 0.1250 0.2500  2.70
Cr2 0.1446 0.6250 0.2500  2.69
Cr3 0.3750 0.3946 0.7500  2.69
Cr4 0.8750 0.8554 0.7500  2.67
Au1 0.0000 0.0000 0.0000  0.04
Au2 0.7500 0.2500 0.5000  0.04
W1 0.5000 0.5000 0.0000  -0.77
W2 0.2500 0.7500 0.5000  -0.76

***

(x)
VASP calculation (PBE) on an optimized crystal structure of Cr2WAu.

Its density of states at the Fermi level is 0.644 states/eV per atom. For the calculated volume, the calculation gives 14.5 Å³/atom.

Unit cell a=2.6698 b=2.6698 c=8.6176 alpha=90.00 beta=90.00 gamma=109.12
Element x y z (fractional)
Au1 0.5000 0.5000 0.7616
Cr1 0.0000 0.0000 0.0262
Cr2 0.5000 0.5000 0.2349
W1 0.0000 0.0000 0.4773

***

(y)
VASP calculation (PBE) on an optimized crystal structure of Cr2WAu.

Its density of states at the Fermi level is 0.982 states/eV per atom. For the calculated volume, the calculation gives 14.3 Å³/atom.

Unit cell a=4.9348 b=4.9348 c=4.2563 alpha=64.43 beta=64.43 gamma=38.20
Element x y z (fractional)
Au1 0.2569 0.2569 0.2431
Cr1 0.0232 0.0232 0.9768
Cr2 0.7373 0.7373 0.7627
W1 0.4827 0.4827 0.5173

***

Most stable structure: (x)

***

(w)
VASP calculation (PBE) on an optimized crystal structure of Cr2WAu.

Its density of states at the Fermi level is 0.688 states/eV per atom. For the calculated volume, the calculation gives 15.3 Å³/atom.

Unit cell a=8.4929 b=8.4929 c=8.4929 alpha=19.78 beta=19.78 gamma=19.78
Last column: magnetic moment on the atom in μB.
Element x y z (fractional)
Au1 0.7500 0.7500 0.7500  0.05
Cr1 0.9933 0.9933 0.9933  1.52
Cr2 0.5067 0.5067 0.5067  1.52
W1 0.2500 0.2500 0.2500  -0.42

***

(x)
VASP calculation (PBE) on an optimized crystal structure of Cr2WAu.

Its density of states at the Fermi level is 0.821 states/eV per atom. For the calculated volume, the calculation gives 14.6 Å³/atom.

Unit cell a=3.9075 b=2.7298 c=5.8187 alpha=70.24 beta=90.00 gamma=90.00
Element x y z (fractional)
Au1 0.5000 0.7535 0.7579
Cr1 0.0000 0.0410 0.0453
Cr2 0.5000 0.2377 0.2336
W1 0.0000 0.4679 0.4632

***

(y)
VASP calculation (PBE) on an optimized crystal structure of Cr2WAu.

Its density of states at the Fermi level is 0.528 states/eV per atom. For the calculated volume, the calculation gives 15.0 Å³/atom.

Unit cell a=4.3907 b=4.3907 c=4.3907 alpha=60.00 beta=60.00 gamma=60.00
Last column: magnetic moment on the atom in μB.
Element x y z (fractional)
Cr1 0.2500 0.2500 0.2500  2.49
Cr2 0.7500 0.7500 0.7500  2.49
Au1 0.5000 0.5000 0.5000  0.20
W1 0.0000 0.0000 0.0000  -0.74

***

(z)
VASP calculation (PBE) on an optimized crystal structure of Cr2WAu.

Its density of states at the Fermi level is 1.148 states/eV per atom. For the calculated volume, the calculation gives 15.1 Å³/atom.

Unit cell a=3.1369 b=3.1383 c=6.1398 alpha=90.00 beta=90.00 gamma=90.00
Last column: magnetic moment on the atom in μB.
Element x y z (fractional)
Au1 0.5000 0.5000 0.7500  0.15
Cr1 0.0000 0.0000 0.0228  2.19
Cr2 0.0000 0.0000 0.4772  2.19
W1 0.5000 0.5000 0.2500  -0.66

***

Most stable structure: (z)